[1]
DFT (GGA-PBEsol) results for a geometry-optimized Y2MoCl structure.

```
4
Lattice="-1.569 0.571 2.630 -0.291 -3.063 0.491 8.759 0.006 5.224" Properties=species:S:1:pos:R:3 pbc="T T T"
Y 8.618 0.006 5.140
Cl 3.925 0.003 2.341
Mo 5.904 -1.242 5.637
Y 1.589 -1.244 3.064
```

Computed properties:
total energy = -6.73 eV per atom

[2]
DFT (GGA-PBEsol) results for a geometry-optimized Y2MoCl2 structure.

```
5
Lattice="5.302 0.000 0.000 -2.651 4.593 0.000 0.000 -3.060 4.330" Properties=species:S:1:pos:R:3 pbc="T T T"
Cl 2.651 -0.382 2.977
Y 2.651 1.532 1.082
Cl 0.000 1.914 1.353
Y 0.000 0.001 3.247
Mo 0.000 0.000 0.000
```

Computed properties:
total energy = -6.40 eV per atom

[3]
DFT (GGA-PBEsol) results for a geometry-optimized YMo3Cl structure.

```
5
Lattice="-2.431 3.481 1.409 -3.340 -1.236 -2.708 -1.718 -2.523 3.270" Properties=species:S:1:pos:R:3 pbc="T T T"
Mo -1.670 -0.618 -1.354
Mo -1.215 1.741 0.705
Cl 0.000 0.000 0.000
Mo -0.859 -1.262 1.635
Y -3.744 -0.139 0.986
```

Computed properties:
total energy = -8.14 eV per atom

[4]
DFT (GGA-PBEsol) results for a geometry-optimized Y2MoCl structure.

```
4
Lattice="3.304 0.000 0.000 0.000 4.890 0.000 -1.652 0.000 5.301" Properties=species:S:1:pos:R:3 pbc="T T T"
Y 1.652 2.445 5.152
Cl 1.652 0.000 0.255
Y 0.000 0.000 2.744
Mo 1.652 2.445 2.451
```

Computed properties:
total energy = -7.11 eV per atom

[5]
DFT (GGA-PBEsol) results for a geometry-optimized Y2MoCl structure.

```
4
Lattice="-4.485 -0.692 -1.863 -3.158 -2.999 2.258 -3.922 1.846 2.297" Properties=species:S:1:pos:R:3 pbc="T T T"
Cl -5.782 -0.923 1.346
Y -8.674 -1.384 2.019
Y 0.000 0.000 0.000
Mo -2.891 -0.461 0.673
```

Computed properties:
total energy = -6.27 eV per atom

[6]
DFT (GGA-PBEsol) results for a geometry-optimized Y2MoCl structure.

```
4
Lattice="-0.184 -4.638 1.695 -0.219 -3.783 -3.172 3.896 -2.990 -0.553" Properties=species:S:1:pos:R:3 pbc="T T T"
Y 0.873 -2.853 -0.508
Cl 0.000 0.000 0.000
Y 2.620 -8.558 -1.523
Mo 1.746 -5.706 -1.015
```

Computed properties:
total energy = -6.73 eV per atom

[7]
DFT (GGA-PBEsol) results for a geometry-optimized Y2MoCl structure.

```
4
Lattice="-1.371 -2.032 -2.305 1.512 -2.644 1.431 -6.248 -1.057 4.647" Properties=species:S:1:pos:R:3 pbc="T T T"
Y -4.501 -0.761 3.348
Cl 0.070 -2.338 -0.437
Y -1.747 -0.295 1.299
Mo -3.054 -2.866 1.887
```

Computed properties:
total energy = -7.27 eV per atom

[8]
DFT (GGA-PBEsol) results for a geometry-optimized ZnMo2Cl structure.

```
4
Lattice="3.088 0.000 0.000 0.000 3.088 0.000 0.000 0.000 7.325" Properties=species:S:1:pos:R:3 pbc="T T T"
Mo 1.544 1.544 1.639
Zn 0.000 0.000 3.241
Mo 0.000 0.000 0.274
Cl 1.544 1.544 5.833
```

Computed properties:
total energy = -6.55 eV per atom

Number 1: size of the total moment 0.01 μB/cell. Number 2: size of the total moment 0.19 μB/cell. Number 3: size of the total moment 0.79 μB/cell. Number 4: size of the total moment 0.00 μB/cell. Number 5: size of the total moment 0.71 μB/cell. Number 6: size of the total moment 0.00 μB/cell. Number 7: size of the total moment 0.00 μB/cell. Number 8: size of the total moment 0.00 μB/cell.